# 1
NdCuNi4 | GGA-PBEsol | relaxed

As for the formation energy: -0.258 eV/atom. As for the calculated volume: 13.6 Å³/atom.

The structure belongs to space group Cmmm (No. 65); the cell edges are 4.843, 8.573 and 3.934 Å and the angles 90.00°, 90.00° and 90.00°. Symmetry generates all atoms from Nd at (0.000, 0.000, 0.000), Cu at (0.000, 0.500, 0.500), Ni at (0.000, 0.324, 0.000) and Ni at (0.250, 0.250, 0.500).

# 2
NdCu2O4 | GGA-PBEsol | relaxed

The uncorrected formation energy is -38.0 kcal/mol of atoms. As for the calculated volume: 11.4 Å³/atom.

The structure belongs to space group I4_1/a (No. 88, origin choice 2); the cell edges are 5.749, 5.749 and 9.648 Å and the angles 90.00°, 90.00° and 90.00°. Symmetry generates all atoms from Nd at (0.000, 0.250, 0.125), Cu at (0.000, 0.000, 0.500) and O at (0.143, 0.032, 0.324).

# 3
Nd4Cu2O7 | GGA-PBEsol | relaxed

The uncorrected formation energy is -61.5 kcal/mol of atoms. As for the calculated volume: 14.4 Å³/atom.

The structure belongs to space group C2/m (No. 12); the cell edges are 12.638, 3.747 and 8.401 Å and the angles 90.00°, 109.57° and 90.00°. Symmetry generates all atoms from Nd at (0.142, 0.000, 0.333), Nd at (0.158, 0.000, 0.818), Cu at (0.000, 0.500, 0.000), Cu at (0.000, 0.500, 0.500), O at (0.000, 0.000, 0.500), O at (0.010, 0.500, 0.790), O at (0.225, 0.000, 0.115) and O at (0.247, 0.000, 0.620).